LiPm3Y3Te8, optimized geometry, DFT GGA-PBE; formation energy from raw total energies = -1.37 eV per atom
1.0
-3.545 7.524 2.817
-1.259 -2.616 -8.288
-3.903 -4.312 6.606
Pm Te Y Li
3 8 3 1
direct
0.000 0.500 0.000
0.000 0.000 0.000
0.500 0.500 0.000
0.752 0.005 0.257
0.248 0.995 0.743
0.254 0.005 0.257
0.248 0.497 0.743
0.752 0.503 0.257
0.252 0.505 0.258
0.746 0.995 0.743
0.748 0.495 0.742
0.500 0.000 0.500
0.500 0.500 0.500
0.000 0.500 0.500
0.000 0.000 0.500